Material: BeCdAs3
Method: DFT, PBEsol
State: relaxed

Calculated density   4.5 g/cm³
Space group   No. 221
Total energy   -2.621 eV/atom
Crystal system   cubic
Density of states at the Fermi level   1.016 states/eV/atom
M_tot   0.00 μB per formula unit
E_form   1.482 eV per atom

Cell lengths 5.0275, 5.0275, 5.0275 Å; angles 90.00, 90.00, 90.00 degrees
Fractional coordinates of all 5 atoms:
1 Be 0.5000 0.5000 0.5000
2 As 0.0000 0.5000 0.0000
3 As 0.0000 0.0000 0.5000
4 As 0.5000 0.0000 0.0000
5 Cd 0.0000 0.0000 0.0000